Cs2ScAs2Se6 | PBE-GGA | relaxed

The density of states at the Fermi level comes out at 9.6 states/eV per cell. As for the final energy: -0.1539 Ha/atom.

The space group is C2/m (No. 12) and the conventional cell measures 12.7493, 7.3811 and 8.7565 Å, with angles of 90.00, 117.26 and 90.00 degrees. The distinct sites, in fractional coordinates, are Cs at (0.2116, 0.0000, 0.1900), Sc at (0.0000, 0.0000, 0.5000), As at (0.0588, 0.5000, 0.1940), Se at (0.0362, 0.2359, 0.7646) and Se at (0.2334, 0.0000, 0.6100).